(1)
Entry from Alexandria: YAlReTc2 after structural relaxation (PBE).

a = 4.619 Å, b = 4.619 Å, c = 4.897 Å
α = 90.00°, β = 90.00°, γ = 90.00°
Atoms (fractional coordinates):
Y: 0.000 0.000 0.000
Al: 0.000 0.000 0.500
Re: 0.500 0.500 0.500
Tc: 0.000 0.500 0.000
Tc: 0.500 0.000 0.000

Properties
As for the symmetry: P4/mmm, No. 123. As for the energy: -6.02 eV/atom.

***

(2)
Entry from Alexandria: DyLuRh after structural relaxation (PBE).

a = 4.758 Å, b = 4.758 Å, c = 4.758 Å
α = 60.00°, β = 60.00°, γ = 60.00°
Atoms (fractional coordinates):
Dy: 0.000 0.000 0.000
Lu: 0.500 0.500 0.500
Rh: 0.250 0.250 0.250

Properties
As for the symmetry: F-43m, No. 216. The energy above the most stable polymorph in this dataset is 0 meV per atom.

***

(3)
Entry from Alexandria: NiPdRh4 after structural relaxation (PBE).

a = 2.726 Å, b = 2.726 Å, c = 11.243 Å
α = 90.00°, β = 90.00°, γ = 90.00°
Atoms (fractional coordinates):
Ni: 0.000 0.000 0.000
Pd: 0.500 0.500 0.500
Rh: 0.000 0.000 0.322
Rh: 0.000 0.000 0.678
Rh: 0.500 0.500 0.155
Rh: 0.500 0.500 0.845

Properties
As for the symmetry: P4/mmm, No. 123. As for the energy: -6.67 eV/atom.

***

(4)
Entry from Alexandria: Sr2MgHgI after structural relaxation (PBE).

a = 6.200 Å, b = 6.200 Å, c = 6.530 Å
α = 90.00°, β = 90.00°, γ = 90.00°
Atoms (fractional coordinates):
Sr: 0.000 0.500 0.000
Sr: 0.500 0.000 0.000
Mg: 0.000 0.000 0.500
Hg: 0.500 0.500 0.000
I: 0.500 0.500 0.500

Properties
As for the symmetry: P4/mmm, No. 123. The uncorrected formation energy is -0.38 eV/f.u.

***

(5)
Entry from Alexandria: Ce7N4Cl4 after structural relaxation (PBE).

a = 9.966 Å, b = 9.966 Å, c = 9.966 Å
α = 95.99°, β = 95.99°, γ = 142.29°
Atoms (fractional coordinates):
Ce: 0.000 0.298 0.298
Ce: 0.000 0.702 0.702
Ce: 0.111 0.500 0.611
Ce: 0.250 0.250 0.000
Ce: 0.280 0.280 0.559
Ce: 0.280 0.720 0.000
Ce: 0.298 0.000 0.298
Ce: 0.500 0.111 0.611
Ce: 0.500 0.889 0.389
Ce: 0.702 0.000 0.702
Ce: 0.720 0.280 0.000
Ce: 0.720 0.720 0.441
Ce: 0.750 0.750 0.000
Ce: 0.889 0.500 0.389
N: 0.098 0.598 0.197
N: 0.098 0.902 0.500
N: 0.402 0.598 0.500
N: 0.402 0.902 0.803
N: 0.598 0.098 0.197
N: 0.598 0.402 0.500
N: 0.902 0.098 0.500
N: 0.902 0.402 0.803
Cl: 0.125 0.125 0.250
Cl: 0.125 0.875 0.000
Cl: 0.324 0.500 0.824
Cl: 0.500 0.324 0.824
Cl: 0.500 0.676 0.176
Cl: 0.676 0.500 0.176
Cl: 0.875 0.125 0.000
Cl: 0.875 0.875 0.750

Properties
As for the symmetry: I4/mmm, No. 139. The uncorrected formation energy is -19.34 eV/f.u.

***

(6)
Entry from Alexandria: SmTlInPb after structural relaxation (PBE).

a = 4.643 Å, b = 4.797 Å, c = 4.966 Å
α = 90.00°, β = 90.00°, γ = 90.00°
Atoms (fractional coordinates):
Sm: 0.000 0.000 0.000
Tl: 0.500 0.000 0.500
In: 0.000 0.500 0.500
Pb: 0.500 0.500 0.000

Properties
As for the symmetry: Pmmm, No. 47. The energy above the most stable polymorph in this dataset is 0 meV per atom.